This record from Alexandria describes a relaxed FeAgI2 crystal. The functional is PBE-GGA.

- Excess energy over the best structure of this formula in the dataset: 783 meV per atom

Cell and atoms, written as CIF:
```
data_FeAgI2
_chemical_formula_sum 'Fe4 Ag4 I8'
_symmetry_space_group_name_H-M 'F m -3 m'
_symmetry_Int_Tables_number 225
_symmetry_space_group_name_Hall '-F 4 2 3'
_cell_length_a 7.1667
_cell_length_b 7.1667
_cell_length_c 7.1667
_cell_angle_alpha 90.00
_cell_angle_beta 90.00
_cell_angle_gamma 90.00
loop_
_atom_site_label
_atom_site_type_symbol
_atom_site_fract_x
_atom_site_fract_y
_atom_site_fract_z
Fe1 Fe 0.0000 0.0000 0.0000
Ag1 Ag 0.0000 0.0000 0.5000
I1 I 0.2500 0.2500 0.2500
```